# Ba2TbSbO6, single point on PBEsol structure, DFT SCAN
# - DOS(E_F) (states/eV/atom) = 0.000
# - total energy (eV/cell) = -230.00
# - energy relative to the elements, uncorrected (eV/atom) = -2.949
data_Ba2TbSbO6
_symmetry_space_group_name_H-M 'P 1'
_symmetry_Int_Tables_number 1
_symmetry_space_group_name_Hall 'P 1'
_cell_length_a 5.967
_cell_length_b 5.967
_cell_length_c 5.967
_cell_angle_alpha 60.00
_cell_angle_beta 60.00
_cell_angle_gamma 60.00
loop_
_atom_site_label
_atom_site_type_symbol
_atom_site_fract_x
_atom_site_fract_y
_atom_site_fract_z
Ba1 Ba 0.750 0.750 0.750
Ba2 Ba 0.250 0.250 0.250
Tb1 Tb 0.500 0.500 0.500
O1 O 0.237 0.763 0.237
O2 O 0.237 0.237 0.763
O3 O 0.763 0.237 0.237
O4 O 0.763 0.237 0.763
O5 O 0.237 0.763 0.763
O6 O 0.763 0.763 0.237
Sb1 Sb 0.000 0.000 0.000

=====

# Ba2YSbO6, single point on PBEsol structure, DFT SCAN
# - DOS(E_F) (states/eV/atom) = 0.000
# - total energy (eV/cell) = -211.21
# - energy relative to the elements, uncorrected (eV/atom) = -2.962
data_Ba2YSbO6
_symmetry_space_group_name_H-M 'P 1'
_symmetry_Int_Tables_number 1
_symmetry_space_group_name_Hall 'P 1'
_cell_length_a 5.950
_cell_length_b 5.950
_cell_length_c 5.950
_cell_angle_alpha 60.00
_cell_angle_beta 60.00
_cell_angle_gamma 60.00
loop_
_atom_site_label
_atom_site_type_symbol
_atom_site_fract_x
_atom_site_fract_y
_atom_site_fract_z
Ba1 Ba 0.750 0.750 0.750
Ba2 Ba 0.250 0.250 0.250
O1 O 0.738 0.262 0.738
O2 O 0.738 0.738 0.262
O3 O 0.738 0.262 0.262
O4 O 0.262 0.262 0.738
O5 O 0.262 0.738 0.738
O6 O 0.262 0.738 0.262
Sb1 Sb 0.500 0.500 0.500
Y1 Y 0.000 0.000 0.000

=====

# Ba2YSbO6, single point on PBEsol structure, DFT SCAN
# - DOS(E_F) (states/eV/atom) = 0.603
# - total energy (eV/cell) = -187.61
# - energy relative to the elements, uncorrected (eV/atom) = -0.602
data_Ba2YSbO6
_symmetry_space_group_name_H-M 'P 1'
_symmetry_Int_Tables_number 1
_symmetry_space_group_name_Hall 'P 1'
_cell_length_a 6.505
_cell_length_b 6.505
_cell_length_c 6.505
_cell_angle_alpha 60.00
_cell_angle_beta 60.00
_cell_angle_gamma 60.00
loop_
_atom_site_label
_atom_site_type_symbol
_atom_site_fract_x
_atom_site_fract_y
_atom_site_fract_z
O1 O 0.500 0.000 0.000
O2 O 0.000 0.000 0.500
O3 O 0.000 0.500 0.000
O4 O 0.500 0.500 0.000
O5 O 0.000 0.500 0.500
O6 O 0.500 0.000 0.500
Ba1 Ba 0.250 0.250 0.250
Ba2 Ba 0.750 0.750 0.750
Y1 Y 0.000 0.000 0.000
Sb1 Sb 0.500 0.500 0.500

=====

# Ba3ZnSb2O9, single point on PBEsol structure, DFT SCAN
# - DOS(E_F) (states/eV/atom) = 0.000
# - total energy (eV/cell) = -594.76
# - energy relative to the elements, uncorrected (eV/atom) = -2.307
data_Ba3ZnSb2O9
_symmetry_space_group_name_H-M 'P 1'
_symmetry_Int_Tables_number 1
_symmetry_space_group_name_Hall 'P 1'
_cell_length_a 5.854
_cell_length_b 5.854
_cell_length_c 14.509
_cell_angle_alpha 90.00
_cell_angle_beta 90.00
_cell_angle_gamma 120.00
loop_
_atom_site_label
_atom_site_type_symbol
_atom_site_fract_x
_atom_site_fract_y
_atom_site_fract_z
O1 O 0.483 0.517 0.750
O2 O 0.483 0.966 0.750
O3 O 0.517 0.034 0.250
O4 O 0.034 0.517 0.750
O5 O 0.664 0.832 0.916
O6 O 0.664 0.832 0.584
O7 O 0.832 0.168 0.416
O8 O 0.517 0.483 0.250
O9 O 0.168 0.832 0.916
O10 O 0.168 0.336 0.584
O11 O 0.966 0.483 0.250
O12 O 0.336 0.168 0.416
O13 O 0.168 0.336 0.916
O14 O 0.832 0.664 0.084
O15 O 0.168 0.832 0.584
O16 O 0.832 0.664 0.416
O17 O 0.832 0.168 0.084
O18 O 0.336 0.168 0.084
Zn1 Zn 0.000 0.000 0.000
Zn2 Zn 0.000 0.000 0.500
Ba1 Ba 0.000 0.000 0.250
Ba2 Ba 0.667 0.333 0.587
Ba3 Ba 0.333 0.667 0.413
Ba4 Ba 0.667 0.333 0.913
Ba5 Ba 0.000 0.000 0.750
Ba6 Ba 0.333 0.667 0.087
Sb1 Sb 0.667 0.333 0.152
Sb2 Sb 0.667 0.333 0.348
Sb3 Sb 0.333 0.667 0.652
Sb4 Sb 0.333 0.667 0.848

=====

# BaSm2Sc2O7, single point on PBEsol structure, DFT SCAN
# - DOS(E_F) (states/eV/atom) = 0.000
# - total energy (eV/cell) = -980.42
# - energy relative to the elements, uncorrected (eV/atom) = -3.715
data_BaSm2Sc2O7
_symmetry_space_group_name_H-M 'P 1'
_symmetry_Int_Tables_number 1
_symmetry_space_group_name_Hall 'P 1'
_cell_length_a 5.766
_cell_length_b 5.766
_cell_length_c 19.971
_cell_angle_alpha 90.00
_cell_angle_beta 90.00
_cell_angle_gamma 90.00
loop_
_atom_site_label
_atom_site_type_symbol
_atom_site_fract_x
_atom_site_fract_y
_atom_site_fract_z
O1 O 0.000 0.000 0.405
O2 O 0.500 0.500 0.367
O3 O 0.500 0.000 0.116
O4 O 0.319 0.681 0.789
O5 O 0.000 0.500 0.884
O6 O 0.681 0.319 0.211
O7 O 0.500 0.500 0.905
O8 O 0.319 0.681 0.211
O9 O 0.819 0.819 0.289
O10 O 0.285 0.285 0.500
O11 O 0.500 0.000 0.884
O12 O 0.785 0.215 0.000
O13 O 0.715 0.715 0.500
O14 O 0.000 0.500 0.616
O15 O 0.000 0.000 0.595
O16 O 0.000 0.000 0.867
O17 O 0.215 0.785 0.000
O18 O 0.819 0.819 0.711
O19 O 0.500 0.500 0.633
O20 O 0.000 0.500 0.384
O21 O 0.500 0.000 0.384
O22 O 0.500 0.000 0.616
O23 O 0.181 0.181 0.711
O24 O 0.000 0.000 0.133
O25 O 0.000 0.500 0.116
O26 O 0.500 0.500 0.095
O27 O 0.681 0.319 0.789
O28 O 0.181 0.181 0.289
Sc1 Sc 0.759 0.241 0.896
Sc2 Sc 0.741 0.741 0.604
Sc3 Sc 0.741 0.741 0.396
Sc4 Sc 0.259 0.259 0.396
Sc5 Sc 0.259 0.259 0.604
Sc6 Sc 0.759 0.241 0.104
Sc7 Sc 0.241 0.759 0.896
Sc8 Sc 0.241 0.759 0.104
Ba1 Ba 0.739 0.739 0.000
Ba2 Ba 0.261 0.261 0.000
Ba3 Ba 0.761 0.239 0.500
Ba4 Ba 0.239 0.761 0.500
Sm1 Sm 0.279 0.279 0.815
Sm2 Sm 0.779 0.221 0.685
Sm3 Sm 0.221 0.779 0.315
Sm4 Sm 0.279 0.279 0.185
Sm5 Sm 0.779 0.221 0.315
Sm6 Sm 0.721 0.721 0.185
Sm7 Sm 0.221 0.779 0.685
Sm8 Sm 0.721 0.721 0.815

=====

# Ba2SeO, single point on PBEsol structure, DFT SCAN
# - DOS(E_F) (states/eV/atom) = 0.000
# - total energy (eV/cell) = -229.95
# - energy relative to the elements, uncorrected (eV/atom) = -2.392
data_Ba2SeO
_symmetry_space_group_name_H-M 'P 1'
_symmetry_Int_Tables_number 1
_symmetry_space_group_name_Hall 'P 1'
_cell_length_a 6.810
_cell_length_b 6.810
_cell_length_c 6.810
_cell_angle_alpha 101.64
_cell_angle_beta 113.52
_cell_angle_gamma 113.52
loop_
_atom_site_label
_atom_site_type_symbol
_atom_site_fract_x
_atom_site_fract_y
_atom_site_fract_z
Ba1 Ba 0.069 0.194 0.625
Ba2 Ba 0.931 0.556 0.125
Ba3 Ba 0.569 0.375 0.444
Ba4 Ba 0.431 0.875 0.806
Se1 Se 0.500 0.750 0.250
Se2 Se 0.000 0.000 0.000
O1 O 0.000 0.500 0.500
O2 O 0.500 0.250 0.750

=====

> What is the DOS(E_F) in the third record?

0.603 states/eV/atom